1.
VASP calculation (PBEsol) on an optimized crystal structure of TcNi2Rh.

Cell: 5.815 5.815 5.815 Å, 90.00 90.00 90.00°
Element x y z (fractional)
1 Tc 0.000 0.000 0.000
2 Tc 0.000 0.500 0.500
3 Tc 0.500 0.000 0.500
4 Tc 0.500 0.500 0.000
5 Ni 0.000 0.000 0.500
6 Ni 0.000 0.500 0.000
7 Ni 0.250 0.250 0.750
8 Ni 0.250 0.750 0.250
9 Ni 0.500 0.000 0.000
10 Ni 0.500 0.500 0.500
11 Ni 0.750 0.250 0.250
12 Ni 0.750 0.750 0.750
13 Rh 0.250 0.250 0.250
14 Rh 0.250 0.750 0.750
15 Rh 0.750 0.250 0.750
16 Rh 0.750 0.750 0.250

Values from the calculation:
ΔE to the lowest computed polymorph   253 meV/atom
Total energy   -7.722 eV/atom

***

2.
VASP calculation (PBEsol) on an optimized crystal structure of TcNiRh2.

Cell: 8.721 2.635 4.544 Å, 90.00 99.93 90.00°
Element x y z (fractional)
1 Tc 0.000 0.000 0.000
2 Tc 0.500 0.500 0.000
3 Ni 0.000 0.500 0.500
4 Ni 0.500 0.000 0.500
5 Rh 0.249 0.000 0.748
6 Rh 0.251 0.500 0.252
7 Rh 0.749 0.500 0.748
8 Rh 0.751 0.000 0.252

Values from the calculation:
ΔE to the lowest computed polymorph   36 meV/atom
Total energy   -8.460 eV/atom

***

3.
VASP calculation (PBEsol) on an optimized crystal structure of TcNiRh2.

Cell: 2.655 3.687 5.251 Å, 90.00 90.00 90.00°
Element x y z (fractional)
1 Tc 0.000 0.000 0.000
2 Ni 0.000 0.000 0.500
3 Rh 0.500 0.500 0.254
4 Rh 0.500 0.500 0.746

Values from the calculation:
ΔE to the lowest computed polymorph   0 meV/atom
Total energy   -8.496 eV/atom

***

Q: Among the records above, which one has the lowest total energy?
A: number 3